The following is a PBE calculation of a relaxed La3In8Pd3 crystal, from Alexandria via LeMat-Bulk.

Geometry as POSCAR:
```
La3In8Pd3
1.0
8.6452 -2.4500 0.0000
8.6452 2.4500 0.0000
-5.4333 0.0000 8.0539
La In Pd
3 8 3
Direct
0.0000 0.0000 0.0000 La
0.2848 0.2848 0.2872 La
0.7152 0.7152 0.7128 La
0.1398 0.1398 0.4361 In
0.1506 0.1506 0.8647 In
0.3511 0.3511 0.7294 In
0.4934 0.4934 0.3288 In
0.5066 0.5066 0.6712 In
0.6489 0.6489 0.2706 In
0.8494 0.8494 0.1353 In
0.8602 0.8602 0.5639 In
0.0000 0.0000 0.5000 Pd
0.3470 0.3470 0.0011 Pd
0.6530 0.6530 0.9989 Pd
```

SG   C2/m (12)

The following is a PBE calculation of a relaxed Y13Tl2 crystal, from Alexandria via LeMat-Bulk.

Geometry as POSCAR:
```
Y13Tl2
1.0
6.7705 0.0000 0.0000
1.0992 8.5426 0.0000
1.7261 3.3674 8.1132
Y Tl
13 2
Direct
0.0000 0.0000 0.0000 Y
0.1190 0.4809 0.7358 Y
0.1984 0.2288 0.1509 Y
0.2562 0.9416 0.5819 Y
0.3069 0.6550 0.9722 Y
0.3713 0.4100 0.3891 Y
0.4918 0.1455 0.7946 Y
0.5082 0.8545 0.2054 Y
0.6287 0.5900 0.6109 Y
0.6931 0.3450 0.0278 Y
0.7438 0.0584 0.4181 Y
0.8016 0.7712 0.8491 Y
0.8810 0.5191 0.2642 Y
0.0602 0.7708 0.3790 Tl
0.9398 0.2292 0.6210 Tl
```

SG   P-1 (2)

The following is a PBE calculation of a relaxed GaOs2Pt crystal, from Alexandria via LeMat-Bulk.

Geometry as POSCAR:
```
GaOs2Pt
1.0
5.6701 0.0000 0.0000
0.0000 5.6701 0.0000
0.0000 0.0000 11.1104
Ga Os Pt
4 8 4
Direct
0.0000 0.0000 0.0000 Ga
0.0000 0.5000 0.2500 Ga
0.5000 0.0000 0.7500 Ga
0.5000 0.5000 0.5000 Ga
0.2419 0.2500 0.6250 Os
0.2500 0.7419 0.8750 Os
0.2500 0.7581 0.3750 Os
0.2581 0.2500 0.1250 Os
0.7419 0.7500 0.1250 Os
0.7500 0.2419 0.3750 Os
0.7500 0.2581 0.8750 Os
0.7581 0.7500 0.6250 Os
0.0000 0.0000 0.5000 Pt
0.0000 0.5000 0.7500 Pt
0.5000 0.0000 0.2500 Pt
0.5000 0.5000 0.0000 Pt
```

SG   I-42d (122)

Sequential ΔH_f (0 K) output: -0.57 -0.08 1.41 eV per atom
Sequential D(E_F) output: 8.2 22.7 20.4 states/eV per cell